# 1
# RbNa2Pb8, relaxed, DFT PBE
# DFT formation energy   -0.10 eV/atom
data_RbNa2Pb8
_chemical_formula_sum 'Rb1 Na2 Pb8'
_cell_length_a 4.775
_cell_length_b 4.775
_cell_length_c 16.539
_cell_angle_alpha 90.00
_cell_angle_beta 90.00
_cell_angle_gamma 90.00
_symmetry_space_group_name_H-M 'P 4/m m m'
_symmetry_Int_Tables_number 123
_symmetry_space_group_name_Hall '-P 4 2'
loop_
_atom_site_label
_atom_site_fract_x
_atom_site_fract_y
_atom_site_fract_z
Rb1 0.000 0.000 0.000
Na1 0.000 0.000 0.344
Pb1 0.000 0.500 0.191
Pb2 0.000 0.500 0.500
Pb3 0.500 0.500 0.336

# 2
# Rb2NaSb2Pb, relaxed, DFT PBE
# Raw formation energy   -2.3 eV per formula unit
data_Rb2NaSb2Pb
_chemical_formula_sum 'Rb8 Na4 Sb8 Pb4'
_cell_length_a 7.417
_cell_length_b 17.167
_cell_length_c 7.482
_cell_angle_alpha 90.00
_cell_angle_beta 90.00
_cell_angle_gamma 90.00
_symmetry_space_group_name_H-M 'I b a m'
_symmetry_Int_Tables_number 72
_symmetry_space_group_name_Hall '-I 2 2c'
loop_
_atom_site_label
_atom_site_fract_x
_atom_site_fract_y
_atom_site_fract_z
Rb1 0.242 0.172 0.000
Na1 0.000 0.000 0.250
Sb1 0.236 0.396 0.000
Pb1 0.000 0.500 0.250

# 3
# RbNaPbSe2, relaxed, DFT PBE
# Raw formation energy   -4.2 eV per formula unit
data_RbNaPbSe2
_chemical_formula_sum 'Rb4 Na4 Pb4 Se8'
_cell_length_a 16.232
_cell_length_b 4.851
_cell_length_c 9.848
_cell_angle_alpha 90.00
_cell_angle_beta 96.32
_cell_angle_gamma 90.00
_symmetry_space_group_name_H-M 'C 1 2/m 1'
_symmetry_Int_Tables_number 12
loop_
_symmetry_equiv_pos_as_xyz
'x,y,z'
'-x,-y,-z'
'-x,y,-z'
'x,-y,z'
'x+1/2,y+1/2,z'
'-x+1/2,-y+1/2,-z'
'-x+1/2,y+1/2,-z'
'x+1/2,-y+1/2,z'
loop_
_atom_site_label
_atom_site_fract_x
_atom_site_fract_y
_atom_site_fract_z
Rb1 0.181 0.000 0.168
Na1 0.189 0.000 0.555
Pb1 0.060 0.500 0.697
Se1 0.128 0.500 0.434
Se2 0.145 0.000 0.823

# 4
# RbNaSn2Pb, relaxed, DFT PBE
# DFT formation energy   0.30 eV/atom
data_RbNaSn2Pb
_chemical_formula_sum 'Rb1 Na1 Sn2 Pb1'
_cell_length_a 5.684
_cell_length_b 5.684
_cell_length_c 5.726
_cell_angle_alpha 90.00
_cell_angle_beta 90.00
_cell_angle_gamma 90.00
_symmetry_space_group_name_H-M 'P 4/m m m'
_symmetry_Int_Tables_number 123
_symmetry_space_group_name_Hall '-P 4 2'
loop_
_atom_site_label
_atom_site_fract_x
_atom_site_fract_y
_atom_site_fract_z
Rb1 0.000 0.000 0.000
Na1 0.500 0.500 0.500
Sn1 0.000 0.500 0.500
Pb1 0.500 0.500 0.000